Compound: Fe2SnBO
Source: the Alexandria database
Functional: PBE with a Hubbard U
Structure: optimized geometry

Unit cell a=4.2027 b=4.6360 c=4.2027 alpha=90.00 beta=90.00 gamma=90.00
Element x y z (fractional)
B 0.0000 0.0000 0.0000
Sn 0.5000 0.5000 0.5000
O 0.0000 0.5000 0.0000
Fe 0.0000 0.0000 0.5000
Fe 0.5000 0.0000 0.0000

Computed properties:
DOS at the Fermi energy = 0.280 states/eV per atom
total moment = 6.9 Bohr magnetons per cell
calculated total energy = -4.622 eV per atom